Run 1
This record from the Alexandria database describes a relaxed AlAsRh2 crystal. The functional is PBE.

Cell and atoms, written as extended XYZ:
```
4
Lattice="8.094 0.015 0.009 7.556 2.900 0.009 7.556 1.407 2.535" Properties=species:S:1:pos:R:3 pbc="T T T"
Al 5.802 1.080 0.638
Rh 11.609 2.162 1.277
As 17.405 3.241 1.915
Rh 23.201 4.321 2.552
```

volume: 59 Å³/f.u.

---

Run 2
This record from the Alexandria database describes a relaxed AlAsRh2 crystal. The functional is PBE.

Cell and atoms, written as extended XYZ:
```
4
Lattice="-1.881 2.328 -0.685 -2.463 -2.946 -3.248 -4.020 -3.061 0.635" Properties=species:S:1:pos:R:3 pbc="T T T"
As -2.010 -1.531 0.317
Rh 0.000 0.000 0.000
Rh -2.172 -0.309 -1.967
Al -4.182 -1.840 -1.649
```

volume: 59 Å³/f.u.

---

What should be chosen as the least stable of them? Choose run 1.

---

Run 1
This record from the Alexandria database describes a relaxed AlAsRh2 crystal. The functional is PBE.

Cell and atoms, written as extended XYZ:
```
4
Lattice="0.000 3.069 3.069 3.069 0.000 3.069 3.069 3.069 0.000" Properties=species:S:1:pos:R:3 pbc="T T T"
Al 0.000 0.000 0.000
As 3.069 3.069 3.069
Rh 1.534 1.534 1.534
Rh 4.603 4.603 4.603
```

volume: 58 Å³/f.u.

---

Run 2
This record from the Alexandria database describes a relaxed AlAsRh2 crystal. The functional is PBE.

Cell and atoms, written as extended XYZ:
```
4
Lattice="4.406 0.000 0.000 2.203 3.815 0.000 2.203 1.272 3.597" Properties=species:S:1:pos:R:3 pbc="T T T"
Al 4.406 2.544 1.799
Rh 2.203 1.272 0.899
As 6.609 3.815 2.698
Rh 0.000 0.000 0.000
```

volume: 60 Å³/f.u.

---

What should be chosen as the least stable of them? Choose run 2.

---

Run 1
This record from the Alexandria database describes a relaxed AlAs2RhSe crystal. The functional is PBE.

Cell and atoms, written as extended XYZ:
```
5
Lattice="4.714 0.000 0.000 0.000 4.714 0.000 0.000 0.000 4.778" Properties=species:S:1:pos:R:3 pbc="T T T"
Al 0.000 0.000 0.000
Rh 2.357 2.357 2.389
Se 0.000 0.000 2.389
As 2.357 0.000 0.000
As 0.000 2.357 0.000
```

volume: 106 Å³/f.u.

---

Run 2
This record from the Alexandria database describes a relaxed AlAs2RhSe crystal. The functional is PBE.

Cell and atoms, written as extended XYZ:
```
5
Lattice="4.679 0.000 0.000 0.000 4.679 0.000 0.000 0.000 5.351" Properties=species:S:1:pos:R:3 pbc="T T T"
As 2.340 0.000 0.000
Al 2.340 2.340 2.675
As 0.000 2.340 0.000
Rh 0.000 0.000 0.000
Se 0.000 0.000 2.675
```

volume: 117 Å³/f.u.

---

What should be chosen as the least stable of them? Choose run 1.

---

Run 1
This record from the Alexandria database describes a relaxed AlAsRu2 crystal. The functional is PBE.

Cell and atoms, written as extended XYZ:
```
4
Lattice="4.392 0.000 0.000 2.196 3.804 0.000 2.196 1.268 3.586" Properties=species:S:1:pos:R:3 pbc="T T T"
Ru 2.196 1.268 0.897
Ru 0.000 0.000 0.000
As 6.588 3.804 2.690
Al 4.392 2.536 1.793
```

volume: 60 Å³/f.u.

---

Run 2
This record from the Alexandria database describes a relaxed AlAsRu2 crystal. The functional is PBE.

Cell and atoms, written as extended XYZ:
```
4
Lattice="4.258 0.000 0.000 0.000 4.260 0.000 0.000 0.000 3.046" Properties=species:S:1:pos:R:3 pbc="T T T"
Ru 0.000 0.000 0.000
Ru 2.129 2.130 0.000
As 0.000 2.130 1.523
Al 2.129 0.000 1.523
```

volume: 55 Å³/f.u.

---

Run 3
This record from the Alexandria database describes a relaxed AlAsRu2 crystal. The functional is PBE.

Cell and atoms, written as extended XYZ:
```
4
Lattice="5.925 -0.004 0.000 4.002 4.369 0.000 -4.763 -2.639 2.336" Properties=species:S:1:pos:R:3 pbc="T T T"
Al 4.549 2.000 0.000
As 1.750 1.802 1.168
Ru 3.460 -0.055 1.168
Ru 0.368 0.162 0.000
```

volume: 61 Å³/f.u.

---

What should be chosen as the least stable of them? Choose run 1.

---

Run 1
This record from the Alexandria database describes a relaxed AlAsRu2 crystal. The functional is PBE.

Cell and atoms, written as extended XYZ:
```
4
Lattice="2.897 0.004 0.000 -1.295 2.591 0.000 0.000 0.000 7.950" Properties=species:S:1:pos:R:3 pbc="T T T"
Al 0.801 1.298 1.987
Ru 0.000 0.000 7.910
As 0.801 1.298 5.962
Ru 0.000 0.000 4.015
```

volume: 60 Å³/f.u.

---

Run 2
This record from the Alexandria database describes a relaxed AlAsRu2 crystal. The functional is PBE.

Cell and atoms, written as extended XYZ:
```
4
Lattice="4.755 0.004 -0.003 3.814 2.840 -0.003 1.245 0.413 4.208" Properties=species:S:1:pos:R:3 pbc="T T T"
Ru 2.530 0.840 1.399
Ru 1.183 0.393 3.911
Al 4.862 1.614 1.820
As 7.392 2.453 3.382
```

volume: 57 Å³/f.u.

---

What should be chosen as the least stable of them? Choose run 1.

---

Run 1
This record from the Alexandria database describes a relaxed AlAsRu2 crystal. The functional is PBE.

Cell and atoms, written as extended XYZ:
```
4
Lattice="3.771 0.000 0.000 0.000 2.889 0.376 0.000 0.932 5.523" Properties=species:S:1:pos:R:3 pbc="T T T"
Ru 0.000 2.281 3.045
Ru 0.000 3.450 5.805
Al 1.886 0.955 1.475
As 1.886 2.865 4.425
```

volume: 59 Å³/f.u.

---

Run 2
This record from the Alexandria database describes a relaxed AlAsRu2 crystal. The functional is PBE.

Cell and atoms, written as extended XYZ:
```
8
Lattice="-0.359 4.195 3.831 -3.871 2.629 -3.242 -5.823 0.907 2.690" Properties=species:S:1:pos:R:3 pbc="T T T"
Ru -3.915 2.339 -0.925
As 0.000 0.000 0.000
As -4.149 4.257 3.408
Ru -8.120 6.686 2.490
Al -5.905 3.474 -0.129
Ru -5.903 3.205 2.281
Al -2.115 3.412 0.294
Ru -2.169 3.233 2.712
```

volume: 82 Å³/f.u.

---

What should be chosen as the least stable of them? Choose run 2.

---

Run 1
This record from the Alexandria database describes a relaxed AlAsRu2 crystal. The functional is PBE.

Cell and atoms, written as extended XYZ:
```
4
Lattice="3.218 0.000 0.000 0.000 3.218 0.000 0.000 0.000 5.621" Properties=species:S:1:pos:R:3 pbc="T T T"
Ru 0.000 0.000 5.371
Ru 1.609 1.609 1.697
Al 0.000 0.000 2.689
As 1.609 1.609 4.295
```

volume: 58 Å³/f.u.

---

Run 2
This record from the Alexandria database describes a relaxed AlAsRu2 crystal. The functional is PBE.

Cell and atoms, written as extended XYZ:
```
4
Lattice="7.965 -0.014 -0.008 7.424 2.886 -0.008 7.424 1.386 2.532" Properties=species:S:1:pos:R:3 pbc="T T T"
Ru 0.073 0.014 0.008
As 17.109 3.193 1.886
Al 5.703 1.064 0.629
Ru 11.333 2.115 1.250
```

volume: 59 Å³/f.u.

---

What should be chosen as the least stable of them? Choose run 2.

---

Run 1
This record from the Alexandria database describes a relaxed AlAsRu2 crystal. The functional is PBE.

Cell and atoms, written as extended XYZ:
```
4
Lattice="-1.733 -2.013 1.180 2.317 -1.658 0.576 0.708 3.317 6.699" Properties=species:S:1:pos:R:3 pbc="T T T"
Al 0.317 1.485 3.000
As 0.859 0.818 6.237
Ru 0.004 0.017 0.034
Ru 0.467 -1.016 2.533
```

volume: 63 Å³/f.u.

---

Run 2
This record from the Alexandria database describes a relaxed AlAsRu2 crystal. The functional is PBE.

Cell and atoms, written as extended XYZ:
```
4
Lattice="-4.515 -1.686 1.059 0.023 -1.726 4.623 0.562 4.047 -2.766" Properties=species:S:1:pos:R:3 pbc="T T T"
As -0.831 0.308 2.349
Ru -2.192 -1.665 2.773
Al -3.099 0.327 0.567
Ru -0.054 -0.041 0.068
```

volume: 60 Å³/f.u.

---

Run 3
This record from the Alexandria database describes a relaxed AlAsRu2 crystal. The functional is PBE.

Cell and atoms, written as extended XYZ:
```
4
Lattice="-3.326 -2.452 1.164 -1.328 -2.392 3.309 -2.743 3.356 2.462" Properties=species:S:1:pos:R:3 pbc="T T T"
Al -1.849 -0.372 1.734
As -5.548 -1.115 5.201
Ru -7.359 -1.499 6.900
Ru -3.737 -0.731 3.503
```

volume: 58 Å³/f.u.

---

What should be chosen as the least stable of them? Choose run 2.

---

Run 1
This record from the Alexandria database describes a relaxed AlAsRu2 crystal. The functional is PBE.

Cell and atoms, written as extended XYZ:
```
4
Lattice="-4.155 2.359 -1.742 -0.830 0.267 -5.010 1.201 -3.516 3.472" Properties=species:S:1:pos:R:3 pbc="T T T"
Ru -1.060 -0.968 -2.457
As -2.723 0.078 -0.823
Ru 0.000 0.000 0.000
Al -2.492 1.313 -3.376
```

volume: 57 Å³/f.u.

---

Run 2
This record from the Alexandria database describes a relaxed AlAsRu2 crystal. The functional is PBE.

Cell and atoms, written as extended XYZ:
```
4
Lattice="4.153 0.891 0.507 1.202 3.843 1.444 1.639 0.391 3.932" Properties=species:S:1:pos:R:3 pbc="T T T"
As 3.497 2.563 2.942
Ru 1.749 1.281 1.471
Ru 5.246 3.844 4.412
Al 0.000 0.000 0.000
```

volume: 55 Å³/f.u.

---

What should be chosen as the least stable of them? Choose run 1.

---

Run 1
This record from the Alexandria database describes a relaxed AlAsRu2 crystal. The functional is PBE.

Cell and atoms, written as extended XYZ:
```
4
Lattice="8.224 -0.008 -0.005 7.703 2.879 -0.005 7.703 1.388 2.522" Properties=species:S:1:pos:R:3 pbc="T T T"
Ru 5.860 1.056 0.623
As 17.640 3.179 1.875
Ru 0.052 0.009 0.006
Al 11.894 2.144 1.264
```

volume: 60 Å³/f.u.

---

Run 2
This record from the Alexandria database describes a relaxed AlAsRu2 crystal. The functional is PBE.

Cell and atoms, written as extended XYZ:
```
4
Lattice="2.834 -0.013 0.000 -1.262 2.537 0.000 0.000 0.000 8.548" Properties=species:S:1:pos:R:3 pbc="T T T"
Ru 0.000 0.000 8.525
Ru 0.786 1.262 2.185
As 0.786 1.262 6.518
Al 0.000 0.000 4.142
```

volume: 61 Å³/f.u.

---

What should be chosen as the least stable of them? Choose run 2.

---

Run 1
This record from the Alexandria database describes a relaxed AlAs2RuSe crystal. The functional is PBE.

Cell and atoms, written as extended XYZ:
```
5
Lattice="4.734 0.000 0.000 0.000 4.734 0.000 0.000 0.000 4.792" Properties=species:S:1:pos:R:3 pbc="T T T"
Al 0.000 0.000 0.000
Se 0.000 0.000 2.396
As 0.000 2.367 0.000
Ru 2.367 2.367 2.396
As 2.367 0.000 0.000
```

volume: 107 Å³/f.u.

---

Run 2
This record from the Alexandria database describes a relaxed AlAs2RuSe crystal. The functional is PBE.

Cell and atoms, written as extended XYZ:
```
5
Lattice="-2.914 3.049 1.934 -1.306 -3.207 3.088 3.949 1.637 3.369" Properties=species:S:1:pos:R:3 pbc="T T T"
As -0.653 -1.603 1.544
Se 1.975 0.818 1.685
Al -0.135 0.739 4.196
As -1.457 1.524 0.967
Ru 0.000 0.000 0.000
```

volume: 117 Å³/f.u.

---

What should be chosen as the least stable of them? Choose run 1.

---

Run 1
This record from the Alexandria database describes a relaxed AlAsRuSe2 crystal. The functional is PBE.

Cell and atoms, written as extended XYZ:
```
5
Lattice="5.047 0.000 0.000 0.000 5.047 0.000 0.000 0.000 4.596" Properties=species:S:1:pos:R:3 pbc="T T T"
Se 0.000 2.523 0.000
Al 2.523 2.523 2.298
Ru 0.000 0.000 0.000
Se 2.523 0.000 0.000
As 0.000 0.000 2.298
```

volume: 117 Å³/f.u.

---

Run 2
This record from the Alexandria database describes a relaxed AlAsRuSe2 crystal. The functional is PBE.

Cell and atoms, written as extended XYZ:
```
5
Lattice="4.750 0.000 0.000 0.000 4.750 0.000 0.000 0.000 4.682" Properties=species:S:1:pos:R:3 pbc="T T T"
Ru 2.375 2.375 2.341
As 0.000 0.000 2.341
Al 0.000 0.000 0.000
Se 0.000 2.375 0.000
Se 2.375 0.000 0.000
```

volume: 106 Å³/f.u.

---

What should be chosen as the least stable of them? Choose run 2.

---

Run 1
This record from the Alexandria database describes a relaxed AlAsS2 crystal. The functional is PBE.

Cell and atoms, written as extended XYZ:
```
8
Lattice="6.599 0.000 0.000 0.000 6.599 0.000 3.299 3.299 3.577" Properties=species:S:1:pos:R:3 pbc="T T T"
Al 3.299 6.599 1.789
S 4.698 1.650 0.894
Al 3.299 3.299 0.000
As 6.599 3.299 1.789
S 8.248 7.997 2.683
As 0.000 0.000 0.000
S 1.901 4.949 0.894
S 4.949 5.201 2.683
```

volume: 78 Å³/f.u.

---

Run 2
This record from the Alexandria database describes a relaxed AlAsS2 crystal. The functional is PBE.

Cell and atoms, written as extended XYZ:
```
4
Lattice="1.981 0.000 7.722 -0.991 1.716 7.722 -0.991 -1.716 7.722" Properties=species:S:1:pos:R:3 pbc="T T T"
S 0.000 0.000 2.522
S 0.000 0.000 20.645
Al 0.000 0.000 11.584
As 0.000 0.000 0.000
```

volume: 79 Å³/f.u.

---

Run 3
This record from the Alexandria database describes a relaxed AlAsS2 crystal. The functional is PBE.

Cell and atoms, written as extended XYZ:
```
4
Lattice="0.000 3.204 3.204 3.204 0.000 3.204 3.204 3.204 0.000" Properties=species:S:1:pos:R:3 pbc="T T T"
S 4.806 4.806 4.806
S 1.602 1.602 1.602
Al 0.000 0.000 0.000
As 3.204 3.204 3.204
```

volume: 66 Å³/f.u.

---

What should be chosen as the least stable of them? Choose run 3.